Material: AlIr2W
Method: DFT, PBE
State: optimized geometry

## Properties
The total magnetization comes out at 0.00 μB per atom. For the energy of formation from the pure elements, the calculation gives -0.416 eV per atom. The total energy comes out at -9.020 eV per atom.

abc: 4.6515 4.6515 2.8246
angles: 90.00 90.00 104.09
Element x y z (fractional)
1 W 0.5000 0.0000 0.5000
2 Ir 0.0000 0.0000 0.0000
3 Ir 0.5000 0.5000 0.0000
4 Al 0.0000 0.5000 0.5000